No. 1
## FeNiHRh (PBE)

Data for crystalline FeNiHRh at its relaxed geometry.

a b c (Å): 2.659 2.658 5.925
angles (deg): 102.96 102.97 90.00
Each line ends with the local moment (μB).
Positions (direct):
H (0.134, 0.777, 0.553)  -0.01
Rh (0.302, 0.944, 0.888)  0.29
Ni (0.621, 0.263, 0.527)  0.52
Fe (0.961, 0.603, 0.207)  2.72

Calculated values
* VASP energy: -24.90 eV/f.u.
* theoretical density: 9136 kg/m³

No. 2
## Fe2NiH5Rh (PBE)

Data for crystalline Fe2NiH5Rh at its relaxed geometry.

a b c (Å): 2.739 6.557 7.177
angles (deg): 90.00 90.00 102.05
Each line ends with the local moment (μB).
Positions (direct):
Rh (0.245, 0.489, 0.979)  0.21
Rh (0.755, 0.511, 0.479)  0.21
H (0.119, 0.238, 0.089)  -0.01
H (0.329, 0.659, 0.357)  -0.01
H (0.500, 0.000, 0.248)  -0.02
H (0.238, 0.475, 0.642)  -0.01
H (0.612, 0.225, 0.496)  -0.02
H (0.671, 0.341, 0.857)  -0.01
H (0.881, 0.762, 0.589)  -0.01
H (0.388, 0.775, 0.996)  -0.02
H (0.762, 0.525, 0.142)  -0.01
H (0.500, 0.000, 0.748)  -0.02
Fe (0.913, 0.826, 0.825)  2.45
Fe (0.902, 0.803, 0.184)  2.42
Fe (0.098, 0.197, 0.684)  2.42
Fe (0.087, 0.174, 0.325)  2.45
Ni (0.553, 0.106, 0.003)  0.41
Ni (0.447, 0.894, 0.503)  0.41

Calculated values
* VASP energy: -46.35 eV/f.u.
* theoretical density: 7334 kg/m³

No. 3
## Fe2NiHRh (PBE)

Data for crystalline Fe2NiHRh at its relaxed geometry.

a b c (Å): 3.742 3.742 3.725
angles (deg): 90.00 90.00 90.00
Each line ends with the local moment (μB).
Positions (direct):
Rh (0.000, 0.000, 0.500)  0.55
Fe (0.500, 0.000, 0.000)  2.73
Fe (0.000, 0.500, 0.000)  2.73
Ni (0.500, 0.500, 0.500)  0.81
H (0.000, 0.000, 0.000)  -0.02

Calculated values
* VASP energy: -33.51 eV/f.u.
* theoretical density: 8735 kg/m³
* relative energy among the computed polymorphs: 0 meV/atom

No. 4
## FeNi2HRh (PBE)

Data for crystalline FeNi2HRh at its relaxed geometry.

a b c (Å): 3.676 3.676 3.796
angles (deg): 90.00 90.00 90.00
Each line ends with the local moment (μB).
Positions (direct):
Rh (0.000, 0.000, 0.500)  0.60
Ni (0.000, 0.500, 0.000)  0.66
Ni (0.500, 0.000, 0.000)  0.66
H (0.000, 0.000, 0.000)  0.00
Fe (0.500, 0.500, 0.500)  3.18

Calculated values
* VASP energy: -31.02 eV/f.u.
* theoretical density: 8972 kg/m³
* relative energy among the computed polymorphs: 0 meV/atom

No. 5
## FeNiH4Rh2 (PBE)

Data for crystalline FeNiH4Rh2 at its relaxed geometry.

a b c (Å): 2.794 5.436 8.423
angles (deg): 90.00 90.00 104.89
Each line ends with the local moment (μB).
Positions (direct):
H (0.425, 0.850, 0.250)  0.00
H (0.575, 0.150, 0.750)  0.00
H (0.807, 0.615, 0.889)  -0.01
H (0.193, 0.385, 0.111)  -0.01
H (0.193, 0.385, 0.389)  -0.01
H (0.000, 0.000, 0.500)  0.00
H (0.000, 0.000, 0.000)  0.00
H (0.807, 0.615, 0.611)  -0.01
Fe (0.247, 0.495, 0.750)  2.80
Fe (0.753, 0.505, 0.250)  2.80
Ni (0.027, 0.054, 0.250)  0.27
Ni (0.973, 0.946, 0.750)  0.27
Rh (0.629, 0.257, 0.524)  0.33
Rh (0.629, 0.257, 0.976)  0.33
Rh (0.371, 0.743, 0.476)  0.33
Rh (0.371, 0.743, 0.024)  0.33

Calculated values
* VASP energy: -42.19 eV/f.u.
* theoretical density: 8715 kg/m³

No. 6
## Fe2NiHRh (PBE)

Data for crystalline Fe2NiHRh at its relaxed geometry.

a b c (Å): 3.752 3.752 3.633
angles (deg): 90.00 90.00 90.00
Each line ends with the local moment (μB).
Positions (direct):
Fe (0.000, 0.500, 0.000)  2.62
Fe (0.500, 0.000, 0.000)  2.62
Rh (0.500, 0.500, 0.500)  0.71
H (0.000, 0.000, 0.000)  -0.03
Ni (0.000, 0.000, 0.500)  0.53

Calculated values
* VASP energy: -33.49 eV/f.u.
* theoretical density: 8905 kg/m³
* relative energy among the computed polymorphs: 3 meV/atom

| no. | total magnetic moment (μB/f.u.) | volume (Å³/cell) |
| --- | --- | --- |
| 1 | 3.48 | 40 |
| 2 | 5.38 | 126 |
| 3 | 6.68 | 52 |
| 4 | 4.99 | 51 |
| 5 | 3.67 | 124 |
| 6 | 6.35 | 51 |